Record 1
This record from Alexandria describes crystalline SrTbI6 at its relaxed geometry. The functional is PBE.

For the uncorrected formation energy, the calculation gives -1.20 eV/atom. Its volume is 366.9 Å³/f.u. Its density is 4.56 Mg/m³. The spin magnetization is 0.01 Bohr magnetons per cell.

The structure belongs to space group P-1 (No. 2); the cell edges are 7.9118, 7.9121 and 8.1142 Å and the angles 61.43°, 61.42° and 60.06°. The inequivalent atoms are Sr at (0.0000, 0.0000, 0.0000), Tb at (0.5000, 0.5000, 0.5000), I at (0.0860, 0.4416, 0.7478), I at (0.2728, 0.9176, 0.2566) and I at (0.4463, 0.7208, 0.7525).


Record 2
This record from Alexandria describes crystalline Y3FeCu at its relaxed geometry. The functional is PBE.

As for the energy of formation from the pure elements: 0.2574 eV/atom. Its volume is 134.5 Å³/f.u. Its density is 4.77 Mg/m³. The spin magnetization is 0.00 Bohr magnetons per cell.

The structure belongs to space group Pm-3m (No. 221); the cell edges are 5.1232, 5.1232 and 5.1232 Å and the angles 90.00°, 90.00° and 90.00°. The inequivalent atoms are Y at (0.0000, 0.0000, 0.5000), Fe at (0.0000, 0.0000, 0.0000) and Cu at (0.5000, 0.5000, 0.5000).


Record 3
This record from Alexandria describes crystalline CsSiH3 at its relaxed geometry. The functional is PBE.

Its total energy is -34.27 eV per cell. Its volume is 110.1 Å³/f.u. Its density is 2.47 Mg/m³. The spin magnetization is 0.00 Bohr magnetons per cell.

The structure belongs to space group Cm (No. 8); the cell edges are 8.0836, 5.8084 and 5.0387 Å and the angles 90.00°, 111.48° and 90.00°. The inequivalent atoms are Cs at (0.0000, 0.0000, 0.0000), Si at (0.4907, 0.0000, 0.4998), H at (0.1309, 0.3063, 0.5559) and H at (0.4994, 0.0000, 0.8112).


Record 4
This record from Alexandria describes crystalline ScPa2Rh at its relaxed geometry. The functional is PBE.

As for the energy of formation from the pure elements: 0.1031 eV/atom. Its volume is 92.4 Å³/f.u. Its density is 10.96 Mg/m³. The spin magnetization is 0.01 Bohr magnetons per cell.

The structure belongs to space group R-3m (No. 166, hexagonal axes); the cell edges are 3.1502, 3.1502 and 32.2508 Å and the angles 90.00°, 90.00° and 120.00°. The inequivalent atoms are Sc at (0.0000, 0.0000, 0.0000), Pa at (0.0000, 0.0000, 0.4216) and Rh at (0.0000, 0.0000, 0.5000).


Record 5
This record from Alexandria describes crystalline Tb4Dy5Er2 at its relaxed geometry. The functional is PBE.

As for the energy of formation from the pure elements: 0.0645 eV/atom. Its volume is 347.2 Å³/f.u. Its density is 8.53 Mg/m³. The spin magnetization is 0.00 Bohr magnetons per cell.

The structure belongs to space group C2/m (No. 12); the cell edges are 21.9930, 3.6388 and 9.1000 Å and the angles 90.00°, 107.54° and 90.00°. The inequivalent atoms are Tb at (0.0238, 0.0000, 0.2095), Tb at (0.1702, 0.5000, 0.4294), Dy at (0.0000, 0.5000, 0.5000), Dy at (0.1253, 0.0000, 0.7261), Dy at (0.2390, 0.0000, 0.1641) and Er at (0.1049, 0.5000, 0.0267).


Record 6
This record from Alexandria describes crystalline Sc3PdI3 at its relaxed geometry. The functional is PBE.

For the uncorrected formation energy, the calculation gives -0.88 eV/atom. Its volume is 200.2 Å³/f.u. Its density is 5.16 Mg/m³. The spin magnetization is 0.00 Bohr magnetons per cell.

The structure belongs to space group I4_132 (No. 214); the cell edges are 11.7007, 11.7007 and 11.7007 Å and the angles 90.00°, 90.00° and 90.00°. The inequivalent atoms are Sc at (0.1010, 0.3510, 0.1250), Pd at (0.1250, 0.1250, 0.1250) and I at (0.1210, 0.1290, 0.6250).